Model A:
! PrSmIn (PBE, relaxed); values from VASP
&SYSTEM
  ibrav = 0, nat = 6, ntyp = 3
/
ATOMIC_SPECIES
In 114.82 In.upf
Sm 150.36 Sm.upf
Pr 140.91 Pr.upf
CELL_PARAMETERS angstrom
-2.650 2.187 0.944
-0.255 -1.664 3.140
11.554 9.412 3.905
ATOMIC_POSITIONS crystal
In 0.869 0.869 0.737
In 0.131 0.131 0.263
Sm 0.704 0.704 0.409
Sm 0.296 0.296 0.591
Pr 0.440 0.440 0.880
Pr 0.560 0.560 0.120
! symmetry = I4/mmm
! density of states at the Fermi level = 5.63 states/eV per cell


Model B:
! PrSmIn (PBE, relaxed); values from VASP
&SYSTEM
  ibrav = 0, nat = 6, ntyp = 3
/
ATOMIC_SPECIES
Pr 140.91 Pr.upf
In 114.82 In.upf
Sm 150.36 Sm.upf
CELL_PARAMETERS angstrom
5.568 0.000 0.000
-2.783 4.823 0.000
0.000 0.000 6.886
ATOMIC_POSITIONS crystal
Pr 0.000 0.500 0.500
Pr 0.000 0.500 0.000
In 0.333 0.167 0.750
In 0.667 0.833 0.250
Sm 0.667 0.833 0.750
Sm 0.333 0.167 0.250
! symmetry = P6_3/mmc
! density of states at the Fermi level = 8.29 states/eV per cell


Most stable structure among those shown: model B.